1.
First-principles (PBE) data for a geometry-optimized TaCr2Mo structure, as listed in the Alexandria database.

CIF file:
```
data_TaCr2Mo
_chemical_formula_sum 'Ta1 Cr2 Mo1'
_cell_length_a 5.030
_cell_length_b 5.030
_cell_length_c 5.030
_cell_angle_alpha 144.22
_cell_angle_beta 128.11
_cell_angle_gamma 64.63
_symmetry_space_group_name_H-M 'P 1'
_symmetry_Int_Tables_number 1
_symmetry_space_group_name_Hall 'P 1'
loop_
_atom_site_label
_atom_site_type_symbol
_atom_site_fract_x
_atom_site_fract_y
_atom_site_fract_z
Ta1 Ta 0.000 0.000 0.000
Cr1 Cr 0.254 0.754 0.500
Cr2 Cr 0.746 0.246 0.500
Mo1 Mo 0.500 0.500 0.000
```

Properties
* final energy: -41.744 eV for the cell shown
* crystal system: orthorhombic
* M_tot: 0.000 Bohr magnetons per cell

=====

2.
First-principles (PBE) data for a geometry-optimized Y4MgAl2Cd structure, as listed in the Alexandria database.

CIF file:
```
data_Y4MgAl2Cd
_chemical_formula_sum 'Y4 Mg1 Al2 Cd1'
_cell_length_a 9.038
_cell_length_b 9.038
_cell_length_c 9.038
_cell_angle_alpha 33.49
_cell_angle_beta 33.49
_cell_angle_gamma 33.49
_symmetry_space_group_name_H-M 'P 1'
_symmetry_Int_Tables_number 1
_symmetry_space_group_name_Hall 'P 1'
loop_
_atom_site_label
_atom_site_type_symbol
_atom_site_fract_x
_atom_site_fract_y
_atom_site_fract_z
Y1 Y 0.124 0.124 0.124
Y2 Y 0.374 0.374 0.374
Y3 Y 0.626 0.626 0.626
Y4 Y 0.876 0.876 0.876
Mg1 Mg 0.500 0.500 0.500
Al1 Al 0.247 0.247 0.247
Al2 Al 0.753 0.753 0.753
Cd1 Cd 0.000 0.000 0.000
```

Properties
* final energy: -38.639 eV for the cell shown
* crystal system: trigonal
* M_tot: 0.000 Bohr magnetons per cell

=====

3.
First-principles (PBE) data for a geometry-optimized TaPAu2 structure, as listed in the Alexandria database.

CIF file:
```
data_TaPAu2
_chemical_formula_sum 'Ta1 P1 Au2'
_cell_length_a 6.129
_cell_length_b 6.129
_cell_length_c 6.129
_cell_angle_alpha 148.77
_cell_angle_beta 142.59
_cell_angle_gamma 49.51
_symmetry_space_group_name_H-M 'P 1'
_symmetry_Int_Tables_number 1
_symmetry_space_group_name_Hall 'P 1'
loop_
_atom_site_label
_atom_site_type_symbol
_atom_site_fract_x
_atom_site_fract_y
_atom_site_fract_z
Ta1 Ta 0.000 0.000 0.000
P1 P 0.165 0.665 0.500
Au1 Au 0.393 0.393 0.000
Au2 Au 0.705 0.205 0.500
```

Properties
* final energy: -23.375 eV for the cell shown
* crystal system: orthorhombic
* M_tot: 0.000 Bohr magnetons per cell

=====

4.
First-principles (PBE) data for a geometry-optimized DyPa2N3 structure, as listed in the Alexandria database.

CIF file:
```
data_DyPa2N3
_chemical_formula_sum 'Dy1 Pa2 N3'
_cell_length_a 6.045
_cell_length_b 6.045
_cell_length_c 6.045
_cell_angle_alpha 146.50
_cell_angle_beta 131.79
_cell_angle_gamma 59.98
_symmetry_space_group_name_H-M 'P 1'
_symmetry_Int_Tables_number 1
_symmetry_space_group_name_Hall 'P 1'
loop_
_atom_site_label
_atom_site_type_symbol
_atom_site_fract_x
_atom_site_fract_y
_atom_site_fract_z
Dy1 Dy 0.000 0.000 0.000
Pa1 Pa 0.334 0.334 0.000
Pa2 Pa 0.666 0.666 0.000
N1 N 0.170 0.670 0.500
N2 N 0.500 0.000 0.500
N3 N 0.830 0.330 0.500
```

Properties
* final energy: -58.446 eV for the cell shown
* crystal system: orthorhombic
* M_tot: 0.000 Bohr magnetons per cell

=====

5.
First-principles (PBE) data for a geometry-optimized PmHg2F8 structure, as listed in the Alexandria database.

CIF file:
```
data_PmHg2F8
_chemical_formula_sum 'Pm1 Hg2 F8'
_cell_length_a 6.926
_cell_length_b 6.926
_cell_length_c 6.926
_cell_angle_alpha 130.49
_cell_angle_beta 130.49
_cell_angle_gamma 72.63
_symmetry_space_group_name_H-M 'P 1'
_symmetry_Int_Tables_number 1
_symmetry_space_group_name_Hall 'P 1'
loop_
_atom_site_label
_atom_site_type_symbol
_atom_site_fract_x
_atom_site_fract_y
_atom_site_fract_z
Pm1 Pm 0.000 0.000 0.000
Hg1 Hg 0.250 0.750 0.500
Hg2 Hg 0.750 0.250 0.500
F1 F 0.057 0.598 0.902
F2 F 0.155 0.057 0.459
F3 F 0.304 0.402 0.459
F4 F 0.402 0.943 0.098
F5 F 0.598 0.696 0.541
F6 F 0.696 0.155 0.098
F7 F 0.845 0.304 0.902
F8 F 0.943 0.845 0.541
```

Properties
* final energy: -44.980 eV for the cell shown
* crystal system: tetragonal
* M_tot: 1.083 Bohr magnetons per cell

=====

6.
First-principles (PBE) data for a geometry-optimized Tb2ThMg3 structure, as listed in the Alexandria database.

CIF file:
```
data_Tb2ThMg3
_chemical_formula_sum 'Tb2 Th1 Mg3'
_cell_length_a 3.805
_cell_length_b 3.805
_cell_length_c 11.471
_cell_angle_alpha 90.00
_cell_angle_beta 90.00
_cell_angle_gamma 90.00
_symmetry_space_group_name_H-M 'P 1'
_symmetry_Int_Tables_number 1
_symmetry_space_group_name_Hall 'P 1'
loop_
_atom_site_label
_atom_site_type_symbol
_atom_site_fract_x
_atom_site_fract_y
_atom_site_fract_z
Tb1 Tb 0.000 0.000 0.166
Tb2 Tb 0.000 0.000 0.834
Th1 Th 0.000 0.000 0.500
Mg1 Mg 0.500 0.500 0.000
Mg2 Mg 0.500 0.500 0.326
Mg3 Mg 0.500 0.500 0.674
```

Properties
* final energy: -21.626 eV for the cell shown
* crystal system: tetragonal
* M_tot: 0.000 Bohr magnetons per cell

=====

7.
First-principles (PBE) data for a geometry-optimized La2SbIr structure, as listed in the Alexandria database.

CIF file:
```
data_La2SbIr
_chemical_formula_sum 'La4 Sb2 Ir2'
_cell_length_a 6.747
_cell_length_b 6.747
_cell_length_c 6.747
_cell_angle_alpha 104.68
_cell_angle_beta 104.68
_cell_angle_gamma 119.54
_symmetry_space_group_name_H-M 'P 1'
_symmetry_Int_Tables_number 1
_symmetry_space_group_name_Hall 'P 1'
loop_
_atom_site_label
_atom_site_type_symbol
_atom_site_fract_x
_atom_site_fract_y
_atom_site_fract_z
La1 La 0.074 0.125 0.449
La2 La 0.375 0.926 0.051
La3 La 0.676 0.625 0.551
La4 La 0.875 0.324 0.949
Sb1 Sb 0.250 0.750 0.500
Sb2 Sb 0.500 0.500 0.000
Ir1 Ir 0.000 0.000 0.000
Ir2 Ir 0.750 0.250 0.500
```

Properties
* final energy: -50.678 eV for the cell shown
* crystal system: tetragonal
* M_tot: 0.000 Bohr magnetons per cell

=====

8.
First-principles (PBE) data for a geometry-optimized Na2AlPdF structure, as listed in the Alexandria database.

CIF file:
```
data_Na2AlPdF
_chemical_formula_sum 'Na2 Al1 Pd1 F1'
_cell_length_a 4.137
_cell_length_b 4.137
_cell_length_c 5.074
_cell_angle_alpha 90.00
_cell_angle_beta 90.00
_cell_angle_gamma 90.00
_symmetry_space_group_name_H-M 'P 1'
_symmetry_Int_Tables_number 1
_symmetry_space_group_name_Hall 'P 1'
loop_
_atom_site_label
_atom_site_type_symbol
_atom_site_fract_x
_atom_site_fract_y
_atom_site_fract_z
Na1 Na 0.000 0.500 0.000
Na2 Na 0.500 0.000 0.000
Al1 Al 0.000 0.000 0.500
Pd1 Pd 0.500 0.500 0.500
F1 F 0.000 0.000 0.000
```

Properties
* final energy: -17.854 eV for the cell shown
* crystal system: tetragonal
* M_tot: 0.000 Bohr magnetons per cell